{
  "formula": "GaNiMo2",
  "functional": "PBE",
  "state": "relaxed",
  "lattice_angstrom": [[-3.434, 3.434, 2.607], [3.434, -3.434, 2.607], [3.434, 3.434, -2.607]],
  "species": ["Ga", "Ga", "Ni", "Ni", "Mo", "Mo", "Mo", "Mo"],
  "frac_coords": [[0.000, 0.000, 0.000], [0.750, 0.250, 0.500], [0.250, 0.750, 0.500], [0.500, 0.500, 0.000], [0.141, 0.125, 0.516], [0.375, 0.859, 0.984], [0.609, 0.625, 0.484], [0.875, 0.391, 0.016]],
  "space_group": "I-42d (122)",
  "dft_energy_ev_per_atom": -7.1807,
  "mass_density_g_cm3": 8.7
}